DFT (GGA-PBE) results for a relaxed structure of LaPm2Pr.

Output
- Total magnetic moment: 0.00 μB/f.u.
- Volume: 142 Å³/cell
- Energy relative to the lowest polymorph listed for this composition: 0.0 meV/atom

Cell lengths 3.713, 3.713, 11.878 Å; angles 90.00, 90.00, 60.00 degrees
Positions (direct):
La 0.000 0.000 0.500
Pm 0.667 0.667 0.249
Pm 0.333 0.333 0.751
Pr 0.000 0.000 0.000